(1)
Entry from the Alexandria database: MgTi2AlO6 after structural relaxation (PBE).

Properties
crystal system: tetragonal

abc: 4.858 4.858 4.809
angles: 90.00 90.00 90.00
Element x y z (fractional)
Mg 0.000 0.000 0.000
Ti 0.000 0.500 0.399
Ti 0.500 0.000 0.399
Al 0.500 0.500 0.029
O 0.000 0.000 0.603
O 0.257 0.257 0.188
O 0.257 0.743 0.188
O 0.500 0.500 0.662
O 0.743 0.257 0.188
O 0.743 0.743 0.188


(2)
Entry from the Alexandria database: MgTiAl2O6 after structural relaxation (PBE).

Properties
crystal system: trigonal

abc: 5.309 5.309 5.309
angles: 55.78 55.78 55.78
Element x y z (fractional)
Mg 0.000 0.000 0.000
Ti 0.496 0.496 0.496
Al 0.291 0.291 0.291
Al 0.786 0.786 0.786
O 0.076 0.665 0.422
O 0.188 0.565 0.900
O 0.422 0.076 0.665
O 0.565 0.900 0.188
O 0.665 0.422 0.076
O 0.900 0.188 0.565


(3)
Entry from the Alexandria database: TmMgAlO4 after structural relaxation (PBE).

Properties
crystal system: orthorhombic

abc: 6.115 6.115 6.115
angles: 120.64 118.33 90.91
Element x y z (fractional)
Tm 0.000 0.000 0.000
Tm 0.500 0.000 0.500
Mg 0.500 0.000 0.000
Mg 0.500 0.500 0.500
Al 0.126 0.376 0.750
Al 0.874 0.624 0.250
O 0.239 0.742 0.497
O 0.253 0.260 0.507
O 0.253 0.747 0.993
O 0.255 0.258 0.997
O 0.745 0.742 0.003
O 0.747 0.253 0.007
O 0.747 0.740 0.493
O 0.761 0.258 0.503


(4)
Entry from the Alexandria database: MgUAl2O8 after structural relaxation (PBE).

Properties
crystal system: tetragonal

abc: 5.758 5.758 5.758
angles: 108.63 108.63 111.17
Element x y z (fractional)
Mg 0.000 0.000 0.000
U 0.250 0.750 0.500
Al 0.500 0.500 0.000
Al 0.750 0.250 0.500
O 0.329 0.126 0.797
O 0.329 0.532 0.203
O 0.370 0.067 0.304
O 0.468 0.671 0.797
O 0.763 0.067 0.696
O 0.874 0.671 0.203
O 0.933 0.237 0.304
O 0.933 0.630 0.696


no.,formation energy from raw total energies (eV/f.u.)
1,-24.77
2,-29.36
3,-21.21
4,-28.93